# 1
Entry from Alexandria via LeMat-Bulk: a relaxed structure of BSeN3 (PBE).

Computed properties:
Magnetic moment   0.0 μB/cell
Formation energy without anion corrections   1.796 eV/atom
Crystal system   cubic
SG   Pm-3m

Cell: 3.432 3.432 3.432 Å, 90.00 90.00 90.00°
Atoms (fractional coordinates):
N 0.000 0.500 0.000
Se 0.500 0.500 0.500
N 0.000 0.000 0.500
B 0.000 0.000 0.000
N 0.500 0.000 0.000


# 2
Entry from Alexandria via LeMat-Bulk: a relaxed structure of B6SeN6 (PBE).

Computed properties:
Magnetic moment   0.0 μB/cell
Formation energy without anion corrections   -0.194 eV/atom
Crystal system   cubic
SG   Pm-3

Cell: 4.616 4.616 4.616 Å, 90.00 90.00 90.00°
Atoms (fractional coordinates):
B 0.746 0.000 0.500
Se 0.500 0.500 0.500
B 0.500 0.254 0.000
N 0.000 0.245 0.500
B 0.254 0.000 0.500
N 0.500 0.000 0.755
N 0.755 0.500 0.000
N 0.500 0.000 0.245
B 0.500 0.746 0.000
N 0.245 0.500 0.000
N 0.000 0.755 0.500
B 0.000 0.500 0.254
B 0.000 0.500 0.746


# 3
Entry from Alexandria via LeMat-Bulk: a relaxed structure of BSe2N (PBE).

Computed properties:
Magnetic moment   0.0 μB/cell
Formation energy without anion corrections   1.094 eV/atom
Crystal system   tetragonal
Polymorph energy (0 for the lowest one)   0 kJ/mol of formula units
SG   I-42d

Cell: 5.527 5.527 5.547 Å, 60.12 60.12 90.00°
Atoms (fractional coordinates):
N 0.000 0.000 0.000
Se 0.596 0.125 0.250
Se 0.375 0.404 0.750
Se 0.875 0.846 0.750
N 0.750 0.250 0.500
B 0.500 0.500 0.000
B 0.250 0.750 0.500
Se 0.154 0.625 0.250


# 4
Entry from Alexandria via LeMat-Bulk: a relaxed structure of BSeN3 (PBE).

Computed properties:
Magnetic moment   0.0 μB/cell
Formation energy without anion corrections   2.816 eV/atom
Crystal system   cubic
SG   Pm-3m

Cell: 3.705 3.705 3.705 Å, 90.00 90.00 90.00°
Atoms (fractional coordinates):
Se 0.000 0.000 0.000
B 0.500 0.500 0.500
N 0.500 0.000 0.000
N 0.000 0.000 0.500
N 0.000 0.500 0.000


# 5
Entry from Alexandria via LeMat-Bulk: a relaxed structure of BSeN2 (PBE).

Computed properties:
Magnetic moment   0.0 μB/cell
Formation energy without anion corrections   2.520 eV/atom
Crystal system   cubic
Polymorph energy (0 for the lowest one)   781 kJ/mol of formula units
SG   Fm-3m

Cell: 3.734 3.734 3.734 Å, 60.00 60.00 60.00°
Atoms (fractional coordinates):
N 0.250 0.250 0.250
N 0.750 0.750 0.750
Se 0.500 0.500 0.500
B 0.000 0.000 0.000


# 6
Entry from Alexandria via LeMat-Bulk: a relaxed structure of BSeN (PBE).

Computed properties:
Magnetic moment   0.0 μB/cell
Formation energy without anion corrections   0.180 eV/atom
Crystal system   triclinic
SG   P-1

Cell: 5.181 4.126 8.308 Å, 104.46 129.34 58.90°
Atoms (fractional coordinates):
N 0.745 0.907 0.812
Se 0.507 0.040 0.409
N 0.635 0.744 0.622
B 0.754 0.244 0.824
Se 0.872 0.611 0.024
B 0.625 0.406 0.609


- The lowest formation energy without anion corrections belongs to which entry?
  B6SeN6